The following is a PBE-GGA calculation of a relaxed HfSiBi crystal, from the Open Quantum Materials Database.

Calculated values
- total energy (eV per formula unit) = -18.4

Geometry as extended XYZ:
```
3
Lattice="-1.0442 -0.2041 4.5725 -3.8695 2.1073 1.6204 -3.6394 -2.5791 1.4638" Properties=species:S:1:pos:R:3 pbc="T T T"
Bi -2.1383 -0.1690 1.9142
Hf -6.4149 -0.5069 5.7425
Si 0.0000 0.0000 0.0000
```